(1)
# GdAsSe3S (PBE, optimized geometry)
# electronic total energy = -4.769 eV per atom
# density = 4.504 g/cm3
# volume = 369.5 Å³ per cell
data_GdAsSe3S
_chemical_formula_sum 'Gd2 As2 Se6 S2'
_cell_length_a 6.786
_cell_length_b 6.916
_cell_length_c 7.945
_cell_angle_alpha 88.76
_cell_angle_beta 87.47
_cell_angle_gamma 82.81
_space_group_name_H-M_alt 'P -1'
_space_group_IT_number 2
loop_
_space_group_symop_operation_xyz
'x,y,z'
'-x,-y,-z'
loop_
_atom_site_label
_atom_site_fract_x
_atom_site_fract_y
_atom_site_fract_z
Gd1 0.200 0.206 0.055
As1 0.308 0.753 0.809
Se1 0.106 0.501 0.774
Se2 0.389 0.776 0.094
Se3 0.408 0.256 0.361
S1 0.079 0.008 0.772

(2)
# Gd3SbAs2 (PBE, optimized geometry)
# electronic total energy = -5.968 eV per atom
# density = 7.632 g/cm3
# volume = 161.7 Å³ per cell
data_Gd3SbAs2
_chemical_formula_sum 'Gd3 Sb1 As2'
_cell_length_a 4.2239
_cell_length_b 4.2239
_cell_length_c 10.4682
_cell_angle_alpha 90.00
_cell_angle_beta 90.00
_cell_angle_gamma 120.00
_space_group_name_H-M_alt 'P -3 m 1'
_space_group_IT_number 164
_space_group_name_Hall '-P 3 2"'
loop_
_atom_site_label
_atom_site_fract_x
_atom_site_fract_y
_atom_site_fract_z
Gd1 0.0000 0.0000 0.0000
Gd2 0.3333 0.6667 0.3181
Sb1 0.0000 0.0000 0.5000
As1 0.3333 0.6667 0.8394